[1]
Here is a relaxed ZrCo2H6 crystal from Alexandria via LeMat-Bulk. Energies are from PBE.

Unit cell a=4.2269 b=4.2269 c=3.9158 alpha=90.00 beta=90.00 gamma=120.00
Space group P6/mmm (No. 191)
Unique sites:
Zr (0.0000, 0.0000, 0.0000) x1
Co (0.3333, 0.6667, 0.5000) x2
H (0.0000, 0.5000, 0.2249) x6

Summary:
* theoretical density: 5.9 Mg/m³
* electronic total energy: -44.5 eV/cell
* total magnetization: 0.92 Bohr magnetons per cell
* D(E_F): 0.343 states/eV per atom



[2]
Here is a relaxed Cd2Pd5Pb crystal from Alexandria via LeMat-Bulk. Energies are from PBE.

Unit cell a=4.231 b=4.231 c=15.545 alpha=90.00 beta=90.00 gamma=90.00
Space group I4/mmm (No. 139)
Unique sites:
Cd (0.000, 0.000, 0.247) x4
Pd (0.000, 0.000, 0.000) x2
Pd (0.000, 0.500, 0.126) x8
Pb (0.000, 0.000, 0.500) x2

Summary:
* theoretical density: 11.5 Mg/m³
* electronic total energy: -68.1 eV/cell
* total magnetization: 0.00 Bohr magnetons per cell
* D(E_F): 0.340 states/eV per atom



[3]
Here is a relaxed B3PdPt6 crystal from Alexandria via LeMat-Bulk. Energies are from PBE.

Unit cell a=5.525 b=5.571 c=5.741 alpha=66.58 beta=87.78 gamma=60.78
Space group P1 (No. 1)
Unique sites:
B (0.000, 0.000, 0.000) x1
B (0.278, 0.477, 0.696) x1
B (0.654, 0.662, 0.987) x1
Pd (0.349, 0.273, 0.111) x1
Pt (0.268, 0.850, 0.748) x1
Pt (0.378, 0.689, 0.322) x1
Pt (0.657, 0.079, 0.727) x1
Pt (0.859, 0.197, 0.272) x1
Pt (0.878, 0.695, 0.248) x1
Pt (0.902, 0.453, 0.747) x1

Summary:
* theoretical density: 15.7 Mg/m³
* electronic total energy: -63.4 eV/cell
* total magnetization: 0.00 Bohr magnetons per cell
* D(E_F): 0.432 states/eV per atom



[4]
Here is a relaxed BeTlH6Rh crystal from Alexandria via LeMat-Bulk. Energies are from PBE.

Unit cell a=4.3016 b=4.3016 c=5.8175 alpha=90.00 beta=90.00 gamma=120.00
Space group P312 (No. 149)
Unique sites:
Be (0.0000, 0.0000, 0.0000) x1
Tl (0.6667, 0.3333, 0.5000) x1
H (0.0235, 0.3376, 0.1622) x6
Rh (0.3333, 0.6667, 0.0000) x1

Summary:
* theoretical density: 5.7 Mg/m³
* electronic total energy: -33.8 eV/cell
* total magnetization: 0.00 Bohr magnetons per cell



[5]
Here is a relaxed GdDyLuIn crystal from Alexandria via LeMat-Bulk. Energies are from PBE.

Unit cell a=7.673 b=7.673 c=7.673 alpha=90.00 beta=90.00 gamma=90.00
Space group F-43m (No. 216)
Unique sites:
Gd (0.000, 0.000, 0.000) x4
Dy (0.000, 0.000, 0.500) x4
Lu (0.250, 0.250, 0.750) x4
In (0.250, 0.250, 0.250) x4

Summary:
* theoretical density: 9.0 Mg/m³
* electronic total energy: -106.4 eV/cell
* total magnetization: 32.74 Bohr magnetons per cell
* D(E_F): 1.401 states/eV per atom



[6]
Here is a relaxed CaH6Rh2 crystal from Alexandria via LeMat-Bulk. Energies are from PBE.

Unit cell a=4.636 b=9.224 c=3.864 alpha=90.00 beta=90.03 gamma=90.00
Space group C2/m (No. 12)
Unique sites:
Ca (0.000, 0.000, 0.000) x2
H (0.199, 0.222, 0.270) x8
H (0.225, 0.500, 0.489) x4
Rh (0.000, 0.346, 0.500) x4

Summary:
* theoretical density: 5.1 Mg/m³
* electronic total energy: -78.3 eV/cell
* total magnetization: 0.00 Bohr magnetons per cell
* D(E_F): 0.203 states/eV per atom



[7]
Here is a relaxed Tl6CuPd12 crystal from Alexandria via LeMat-Bulk. Energies are from PBE.

Unit cell a=12.0723 b=12.0723 c=8.4568 alpha=90.00 beta=90.00 gamma=120.00
Space group R-3 (No. 148, hexagonal axes)
Unique sites:
Tl (0.0472, 0.8424, 0.2432) x18
Cu (0.0000, 0.0000, 0.5000) x3
Pd (0.0500, 0.8147, 0.5767) x18
Pd (0.0602, 0.8171, 0.9215) x18

Summary:
* theoretical density: 12.0 Mg/m³
* electronic total energy: -249.0 eV/cell
* total magnetization: 0.00 Bohr magnetons per cell
* D(E_F): 0.448 states/eV per atom



[8]
Here is a relaxed Nd2HgC2N6 crystal from Alexandria via LeMat-Bulk. Energies are from PBE.

Unit cell a=11.332 b=5.871 c=6.326 alpha=90.00 beta=112.50 gamma=90.00
Space group C2/m (No. 12)
Unique sites:
Nd (0.159, 0.000, 0.280) x4
Hg (0.000, 0.500, 0.000) x2
C (0.154, 0.000, 0.739) x4
N (0.074, 0.000, 0.848) x4
N (0.198, 0.187, 0.676) x8

Summary:
* ΔE_f (raw): -10.45 kJ/mol of atoms
* theoretical density: 5.1 Mg/m³
* total magnetization: 0.00 Bohr magnetons per cell
* D(E_F): 0.081 states/eV per atom



[9]
Here is a relaxed ZrPd crystal from Alexandria via LeMat-Bulk. Energies are from PBE.

Unit cell a=5.482 b=5.482 c=5.431 alpha=90.00 beta=90.00 gamma=90.00
Space group P4_2/mnm (No. 136)
Unique sites:
Zr (0.201, 0.201, 0.000) x4
Pd (0.189, 0.189, 0.500) x4

Summary:
* theoretical density: 8.0 Mg/m³
* electronic total energy: -57.9 eV/cell
* total magnetization: 0.00 Bohr magnetons per cell
* D(E_F): 0.984 states/eV per atom



[10]
Here is a relaxed Ce2Zn2NiGe4 crystal from Alexandria via LeMat-Bulk. Energies are from PBE.

Unit cell a=6.281 b=6.281 c=8.606 alpha=90.00 beta=90.00 gamma=90.00
Space group I4/mmm (No. 139)
Unique sites:
Ce (0.000, 0.500, 0.250) x4
Zn (0.000, 0.000, 0.214) x4
Ni (0.000, 0.000, 0.500) x2
Ge (0.228, 0.228, 0.000) x8

Summary:
* theoretical density: 7.4 Mg/m³
* electronic total energy: -86.2 eV/cell
* total magnetization: 2.56 Bohr magnetons per cell
* D(E_F): 1.076 states/eV per atom



[11]
Here is a relaxed Sr2PuPaBi4 crystal from Alexandria via LeMat-Bulk. Energies are from PBE.

Unit cell a=8.065 b=4.671 c=8.147 alpha=90.00 beta=109.34 gamma=90.00
Space group P2/m (No. 10)
Unique sites:
Sr (0.000, 0.000, 0.000) x1
Sr (0.500, 0.500, 0.000) x1
Pu (0.000, 0.500, 0.500) x1
Pa (0.500, 0.000, 0.500) x1
Bi (0.249, 0.000, 0.723) x2
Bi (0.267, 0.500, 0.278) x2

Summary:
* theoretical density: 8.5 Mg/m³
* electronic total energy: -47.1 eV/cell
* total magnetization: 5.09 Bohr magnetons per cell
* D(E_F): 2.109 states/eV per atom



[12]
Here is a relaxed CuBi2S3 crystal from Alexandria via LeMat-Bulk. Energies are from PBE.

Unit cell a=6.855 b=7.583 c=13.540 alpha=89.01 beta=84.59 gamma=64.63
Space group P-1 (No. 2)
Unique sites:
Cu (0.163, 0.381, 0.361) x2
Cu (0.274, 0.299, 0.887) x2
Bi (0.169, 0.109, 0.198) x2
Bi (0.201, 0.086, 0.575) x2
Bi (0.452, 0.451, 0.662) x2
Bi (0.467, 0.264, 0.066) x2
S (0.015, 0.800, 0.597) x2
S (0.156, 0.643, 0.285) x2
S (0.212, 0.079, 0.980) x2
S (0.244, 0.600, 0.849) x2
S (0.428, 0.131, 0.736) x2
S (0.435, 0.264, 0.476) x2

Summary:
* ΔE_f (raw): -19.30 kJ/mol of atoms
* theoretical density: 6.1 Mg/m³
* total magnetization: 0.00 Bohr magnetons per cell
* relative energy among the computed polymorphs: 0.000 eV/atom



[13]
Here is a relaxed Ho7CCl12 crystal from Alexandria via LeMat-Bulk. Energies are from PBE.

Unit cell a=13.7505 b=13.7505 c=9.2742 alpha=90.00 beta=90.00 gamma=120.00
Space group R-3 (No. 148, hexagonal axes)
Unique sites:
Ho (0.0000, 0.0000, 0.0000) x3
Ho (0.0433, 0.8816, 0.3501) x18
C (0.0000, 0.0000, 0.5000) x3
Cl (0.0244, 0.4390, 0.1631) x18
Cl (0.0487, 0.8685, 0.8368) x18

Summary:
* ΔE_f (raw): -183.00 kJ/mol of atoms
* theoretical density: 5.2 Mg/m³
* total magnetization: 0.00 Bohr magnetons per cell
* D(E_F): 0.543 states/eV per atom



[14]
Here is a relaxed BaTlIr2 crystal from Alexandria via LeMat-Bulk. Energies are from PBE.

Unit cell a=7.971 b=7.971 c=6.233 alpha=90.00 beta=90.00 gamma=90.00
Space group I-42d (No. 122)
Unique sites:
Ba (0.000, 0.000, 0.000) x4
Tl (0.000, 0.000, 0.500) x4
Ir (0.207, 0.250, 0.625) x8

Summary:
* theoretical density: 12.2 Mg/m³
* electronic total energy: -76.1 eV/cell
* total magnetization: 0.00 Bohr magnetons per cell
* D(E_F): 1.374 states/eV per atom



[15]
Here is a relaxed Co2NiN crystal from Alexandria via LeMat-Bulk. Energies are from PBE.

Unit cell a=5.971 b=5.971 c=4.513 alpha=90.00 beta=90.00 gamma=90.00
Space group I-42d (No. 122)
Unique sites:
Co (0.145, 0.250, 0.125) x8
Ni (0.000, 0.000, 0.500) x4
N (0.000, 0.000, 0.000) x4

Summary:
* ΔE_f (raw): 27.38 kJ/mol of atoms
* theoretical density: 7.9 Mg/m³
* total magnetization: 5.45 Bohr magnetons per cell
* D(E_F): 1.455 states/eV per atom



[16]
Here is a relaxed BaCd3Au3 crystal from Alexandria via LeMat-Bulk. Energies are from PBE.

Unit cell a=7.3702 b=7.3702 c=22.9624 alpha=90.00 beta=90.00 gamma=120.00
Space group R-3 (No. 148, hexagonal axes)
Unique sites:
Ba (0.0000, 0.0000, 0.1606) x6
Cd (0.0407, 0.4432, 0.3739) x18
Au (0.0132, 0.2304, 0.5798) x18

Summary:
* theoretical density: 9.8 Mg/m³
* total magnetization: 0.00 Bohr magnetons per cell
* D(E_F): 0.522 states/eV per atom
* relative energy among the computed polymorphs: 0.046 eV/atom



[17]
Here is a relaxed Na2Al2CuAu5 crystal from Alexandria via LeMat-Bulk. Energies are from PBE.

Unit cell a=11.241 b=11.241 c=2.981 alpha=90.00 beta=90.00 gamma=90.00
Space group P4/mbm (No. 127)
Unique sites:
Na (0.170, 0.330, 0.000) x4
Al (0.137, 0.637, 0.000) x4
Cu (0.000, 0.000, 0.000) x2
Au (0.000, 0.500, 0.500) x2
Au (0.069, 0.814, 0.500) x8

Summary:
* theoretical density: 10.1 Mg/m³
* electronic total energy: -68.1 eV/cell
* total magnetization: 0.00 Bohr magnetons per cell
* D(E_F): 0.243 states/eV per atom



[18]
Here is a relaxed Pr2Zn3AgAu4 crystal from Alexandria via LeMat-Bulk. Energies are from PBE.

Unit cell a=4.193 b=4.193 c=12.040 alpha=90.00 beta=90.00 gamma=90.00
Space group P-4m2 (No. 115)
Unique sites:
Pr (0.000, 0.500, 0.244) x2
Zn (0.000, 0.500, 0.868) x2
Zn (0.500, 0.500, 0.500) x1
Ag (0.000, 0.000, 0.500) x1
Au (0.000, 0.000, 0.000) x1
Au (0.000, 0.500, 0.654) x2
Au (0.500, 0.500, 0.000) x1

Summary:
* theoretical density: 10.8 Mg/m³
* electronic total energy: -34.0 eV/cell
* total magnetization: 0.00 Bohr magnetons per cell
* D(E_F): 0.526 states/eV per atom



[19]
Here is a relaxed KGaPb crystal from Alexandria via LeMat-Bulk. Energies are from PBE.

Unit cell a=4.7359 b=4.7359 c=11.1980 alpha=90.00 beta=90.00 gamma=120.00
Space group P6_3/mmc (No. 194)
Unique sites:
K (0.0000, 0.0000, 0.0000) x2
Ga (0.3333, 0.6667, 0.2500) x2
Pb (0.3333, 0.6667, 0.7500) x2

Summary:
* theoretical density: 4.8 Mg/m³
* electronic total energy: -16.3 eV/cell
* total magnetization: 0.00 Bohr magnetons per cell
* D(E_F): 0.107 states/eV per atom



[20]
Here is a relaxed SmHoCdBi crystal from Alexandria via LeMat-Bulk. Energies are from PBE.

Unit cell a=7.673 b=7.673 c=7.673 alpha=90.00 beta=90.00 gamma=90.00
Space group F-43m (No. 216)
Unique sites:
Sm (0.000, 0.000, 0.000) x4
Ho (0.000, 0.000, 0.500) x4
Cd (0.250, 0.250, 0.250) x4
Bi (0.250, 0.250, 0.750) x4

Summary:
* theoretical density: 9.4 Mg/m³
* electronic total energy: -63.2 eV/cell
* total magnetization: 0.00 Bohr magnetons per cell
* D(E_F): 1.018 states/eV per atom